one.
Compound: KI2N
Source: Alexandria
Functional: PBE
Structure: optimized geometry

Summary:
- Calculated density: 3.6 g/cm³

Geometry as CIF:
```
data_KI2N
_chemical_formula_sum 'K1 I2 N1'
_cell_length_a 5.874
_cell_length_b 5.874
_cell_length_c 5.874
_cell_angle_alpha 60.00
_cell_angle_beta 60.00
_cell_angle_gamma 60.00
_symmetry_space_group_name_H-M 'P 1'
_symmetry_Int_Tables_number 1
_symmetry_space_group_name_Hall 'P 1'
loop_
_atom_site_label
_atom_site_fract_x
_atom_site_fract_y
_atom_site_fract_z
I1 0.250 0.250 0.250
I2 0.750 0.750 0.750
K1 0.500 0.500 0.500
N1 0.000 0.000 0.000
```

two.
Compound: KI2N
Source: Alexandria
Functional: PBE
Structure: optimized geometry

Summary:
- Calculated density: 3.6 g/cm³

Geometry as CIF:
```
data_KI2N
_chemical_formula_sum 'K2 I4 N2'
_cell_length_a 7.395
_cell_length_b 7.395
_cell_length_c 7.409
_cell_angle_alpha 60.06
_cell_angle_beta 60.06
_cell_angle_gamma 90.00
_symmetry_space_group_name_H-M 'P 1'
_symmetry_Int_Tables_number 1
_symmetry_space_group_name_Hall 'P 1'
loop_
_atom_site_label
_atom_site_fract_x
_atom_site_fract_y
_atom_site_fract_z
I1 0.375 0.125 0.250
I2 0.375 0.625 0.250
I3 0.375 0.625 0.750
I4 0.875 0.625 0.750
K1 0.000 0.000 0.000
K2 0.750 0.250 0.500
N1 0.500 0.500 0.000
N2 0.250 0.750 0.500
```

two takes first place; second place is 56.2 kJ/mol of atoms up.

one.
Compound: KNaIN2
Source: Alexandria
Functional: PBE
Structure: optimized geometry

Summary:
- Calculated density: 1.9 g/cm³

Geometry as CIF:
```
data_KNaIN2
_chemical_formula_sum 'K1 Na1 I1 N2'
_cell_length_a 5.211
_cell_length_b 5.211
_cell_length_c 7.070
_cell_angle_alpha 90.00
_cell_angle_beta 90.00
_cell_angle_gamma 90.00
_symmetry_space_group_name_H-M 'P 1'
_symmetry_Int_Tables_number 1
_symmetry_space_group_name_Hall 'P 1'
loop_
_atom_site_label
_atom_site_fract_x
_atom_site_fract_y
_atom_site_fract_z
I1 0.000 0.000 0.500
Na1 0.500 0.500 0.500
K1 0.000 0.000 0.000
N1 0.000 0.500 0.000
N2 0.500 0.000 0.000
```

two.
Compound: KNaIN2
Source: Alexandria
Functional: PBE
Structure: optimized geometry

Summary:
- Calculated density: 2.3 g/cm³

Geometry as CIF:
```
data_KNaIN2
_chemical_formula_sum 'K1 Na1 I1 N2'
_cell_length_a 4.986
_cell_length_b 4.986
_cell_length_c 6.440
_cell_angle_alpha 90.00
_cell_angle_beta 90.00
_cell_angle_gamma 90.00
_symmetry_space_group_name_H-M 'P 1'
_symmetry_Int_Tables_number 1
_symmetry_space_group_name_Hall 'P 1'
loop_
_atom_site_label
_atom_site_fract_x
_atom_site_fract_y
_atom_site_fract_z
I1 0.000 0.000 0.500
Na1 0.000 0.000 0.000
K1 0.500 0.500 0.500
N1 0.000 0.500 0.000
N2 0.500 0.000 0.000
```

two takes first place; second place is 19.9 kJ/mol of atoms up.

one.
Compound: KNbI2N
Source: Alexandria
Functional: PBE
Structure: optimized geometry

Summary:
- Calculated density: 3.5 g/cm³

Geometry as CIF:
```
data_KNbI2N
_chemical_formula_sum 'K1 Nb1 I2 N1'
_cell_length_a 6.251
_cell_length_b 6.251
_cell_length_c 4.820
_cell_angle_alpha 90.00
_cell_angle_beta 90.00
_cell_angle_gamma 90.00
_symmetry_space_group_name_H-M 'P 1'
_symmetry_Int_Tables_number 1
_symmetry_space_group_name_Hall 'P 1'
loop_
_atom_site_label
_atom_site_fract_x
_atom_site_fract_y
_atom_site_fract_z
I1 0.000 0.500 0.000
I2 0.500 0.000 0.000
Nb1 0.500 0.500 0.500
K1 0.000 0.000 0.000
N1 0.000 0.000 0.500
```

two.
Compound: KNbI2N
Source: Alexandria
Functional: PBE
Structure: optimized geometry

Summary:
- Calculated density: 4.6 g/cm³

Geometry as CIF:
```
data_KNbI2N
_chemical_formula_sum 'K1 Nb1 I2 N1'
_cell_length_a 5.979
_cell_length_b 5.979
_cell_length_c 4.006
_cell_angle_alpha 90.00
_cell_angle_beta 90.00
_cell_angle_gamma 90.00
_symmetry_space_group_name_H-M 'P 1'
_symmetry_Int_Tables_number 1
_symmetry_space_group_name_Hall 'P 1'
loop_
_atom_site_label
_atom_site_fract_x
_atom_site_fract_y
_atom_site_fract_z
I1 0.000 0.500 0.000
I2 0.500 0.000 0.000
Nb1 0.000 0.000 0.000
K1 0.500 0.500 0.500
N1 0.000 0.000 0.500
```

two takes first place; second place is 185.3 kJ/mol of atoms up.

one.
Compound: KPbIN2
Source: Alexandria
Functional: PBE
Structure: optimized geometry

Summary:
- Calculated density: 3.1 g/cm³

Geometry as CIF:
```
data_KPbIN2
_chemical_formula_sum 'K1 Pb1 I1 N2'
_cell_length_a 4.586
_cell_length_b 10.338
_cell_length_c 4.586
_cell_angle_alpha 90.00
_cell_angle_beta 90.00
_cell_angle_gamma 90.00
_symmetry_space_group_name_H-M 'P 1'
_symmetry_Int_Tables_number 1
_symmetry_space_group_name_Hall 'P 1'
loop_
_atom_site_label
_atom_site_fract_x
_atom_site_fract_y
_atom_site_fract_z
Pb1 0.000 0.000 0.000
I1 0.500 0.500 0.500
K1 0.000 0.500 0.000
N1 0.000 0.000 0.500
N2 0.500 0.000 0.000
```

two.
Compound: KPbIN2
Source: Alexandria
Functional: PBE
Structure: optimized geometry

Summary:
- Calculated density: 4.4 g/cm³

Geometry as CIF:
```
data_KPbIN2
_chemical_formula_sum 'K1 Pb1 I1 N2'
_cell_length_a 4.715
_cell_length_b 4.715
_cell_length_c 6.757
_cell_angle_alpha 90.00
_cell_angle_beta 90.00
_cell_angle_gamma 90.00
_symmetry_space_group_name_H-M 'P 1'
_symmetry_Int_Tables_number 1
_symmetry_space_group_name_Hall 'P 1'
loop_
_atom_site_label
_atom_site_fract_x
_atom_site_fract_y
_atom_site_fract_z
Pb1 0.000 0.000 0.000
I1 0.000 0.000 0.500
K1 0.500 0.500 0.500
N1 0.000 0.500 0.000
N2 0.500 0.000 0.000
```

two takes first place; second place is 8.5 kJ/mol of atoms up.

one.
Compound: KPdIN2
Source: Alexandria
Functional: PBE
Structure: optimized geometry

Summary:
- Calculated density: 3.2 g/cm³

Geometry as CIF:
```
data_KPdIN2
_chemical_formula_sum 'K1 Pd1 I1 N2'
_cell_length_a 4.786
_cell_length_b 4.786
_cell_length_c 6.882
_cell_angle_alpha 90.00
_cell_angle_beta 90.00
_cell_angle_gamma 90.00
_symmetry_space_group_name_H-M 'P 1'
_symmetry_Int_Tables_number 1
_symmetry_space_group_name_Hall 'P 1'
loop_
_atom_site_label
_atom_site_fract_x
_atom_site_fract_y
_atom_site_fract_z
I1 0.000 0.000 0.500
K1 0.000 0.000 0.000
Pd1 0.500 0.500 0.500
N1 0.000 0.500 0.000
N2 0.500 0.000 0.000
```

two.
Compound: KPdIN2
Source: Alexandria
Functional: PBE
Structure: optimized geometry

Summary:
- Calculated density: 4.2 g/cm³

Geometry as CIF:
```
data_KPdIN2
_chemical_formula_sum 'K1 Pd1 I1 N2'
_cell_length_a 4.241
_cell_length_b 6.627
_cell_length_c 4.241
_cell_angle_alpha 90.00
_cell_angle_beta 90.00
_cell_angle_gamma 90.00
_symmetry_space_group_name_H-M 'P 1'
_symmetry_Int_Tables_number 1
_symmetry_space_group_name_Hall 'P 1'
loop_
_atom_site_label
_atom_site_fract_x
_atom_site_fract_y
_atom_site_fract_z
I1 0.000 0.000 0.000
K1 0.000 0.500 0.000
Pd1 0.500 0.500 0.500
N1 0.000 0.000 0.500
N2 0.500 0.000 0.000
```

two takes first place; second place is 51.7 kJ/mol of atoms up.

one.
Compound: KPtIN2
Source: Alexandria
Functional: PBE
Structure: optimized geometry

Summary:
- Calculated density: 4.2 g/cm³

Geometry as CIF:
```
data_KPtIN2
_chemical_formula_sum 'K1 Pt1 I1 N2'
_cell_length_a 4.713
_cell_length_b 4.713
_cell_length_c 6.874
_cell_angle_alpha 90.00
_cell_angle_beta 90.00
_cell_angle_gamma 90.00
_symmetry_space_group_name_H-M 'P 1'
_symmetry_Int_Tables_number 1
_symmetry_space_group_name_Hall 'P 1'
loop_
_atom_site_label
_atom_site_fract_x
_atom_site_fract_y
_atom_site_fract_z
I1 0.000 0.000 0.500
K1 0.000 0.000 0.000
Pt1 0.500 0.500 0.500
N1 0.000 0.500 0.000
N2 0.500 0.000 0.000
```

two.
Compound: KPtIN2
Source: Alexandria
Functional: PBE
Structure: optimized geometry

Summary:
- Calculated density: 6.0 g/cm³

Geometry as CIF:
```
data_KPtIN2
_chemical_formula_sum 'K1 Pt1 I1 N2'
_cell_length_a 4.266
_cell_length_b 4.266
_cell_length_c 5.899
_cell_angle_alpha 90.00
_cell_angle_beta 90.00
_cell_angle_gamma 90.00
_symmetry_space_group_name_H-M 'P 1'
_symmetry_Int_Tables_number 1
_symmetry_space_group_name_Hall 'P 1'
loop_
_atom_site_label
_atom_site_fract_x
_atom_site_fract_y
_atom_site_fract_z
I1 0.000 0.000 0.500
K1 0.500 0.500 0.500
Pt1 0.000 0.000 0.000
N1 0.000 0.500 0.000
N2 0.500 0.000 0.000
```

two takes first place; second place is 137.0 kJ/mol of atoms up.